# 1
VASP calculation (PBE) on a relaxed structure of PrNd6Y2Er.

## Properties
Space group = C2/c, No. 15
DFT total energy = -99.5 eV for the cell shown
Crystal system = monoclinic
Fermi-level density of states = 1.4698 states/eV per atom

Cell and atoms, written as extended XYZ:
```
20
Lattice="4.751 -7.629 0.000 4.751 7.629 0.000 -0.953 0.000 9.555" Properties=species:S:1:pos:R:3 pbc="T T T"
Pr 4.036 7.090 7.166
Pr 4.513 -7.090 2.389
Nd 2.006 4.222 6.547
Nd 4.100 4.952 0.557
Nd 4.926 4.952 4.221
Nd 3.039 1.743 8.455
Nd 6.067 4.222 7.786
Nd 5.034 1.743 5.877
Nd 3.515 -1.743 3.678
Nd 2.482 -4.222 1.769
Nd 5.511 -1.743 1.100
Nd 3.623 -4.952 5.334
Nd 4.450 -4.952 8.998
Nd 6.544 -4.222 3.008
Y 1.870 0.716 5.276
Y 2.347 -0.716 0.499
Y 6.203 0.716 9.056
Y 6.680 -0.716 4.279
Er 4.513 1.350 2.389
Er 4.036 -1.350 7.166
```



# 2
VASP calculation (PBE) on a relaxed structure of PrNd2Y6Er.

## Properties
Space group = C2/c, No. 15
DFT total energy = -113.1 eV for the cell shown
Crystal system = monoclinic
Fermi-level density of states = 1.4829 states/eV per atom

Cell and atoms, written as extended XYZ:
```
20
Lattice="4.573 -7.549 0.000 4.573 7.549 0.000 -1.578 0.000 9.682" Properties=species:S:1:pos:R:3 pbc="T T T"
Pr 3.389 7.266 7.261
Pr 4.178 -7.266 2.420
Nd 1.379 0.750 5.280
Nd 2.169 -0.750 0.439
Nd 5.398 0.750 9.243
Nd 6.188 -0.750 4.402
Y 1.608 4.181 6.637
Y 3.854 4.682 0.555
Y 4.502 4.682 4.286
Y 2.294 1.597 8.546
Y 5.170 4.181 7.886
Y 4.484 1.597 5.977
Y 3.083 -1.597 3.705
Y 2.397 -4.181 1.796
Y 5.273 -1.597 1.136
Y 3.065 -4.682 5.396
Y 3.713 -4.682 9.127
Y 5.959 -4.181 3.045
Er 4.178 1.402 2.420
Er 3.389 -1.402 7.261
```